No. 1
First-principles (GGA-PBE) data for a relaxed structure of ReBrO3, as listed in Alexandria.

Results
As for the crystal system: cubic.

Lattice parameters (Å, degrees): 3.911 3.911 3.911 90.00 90.00 90.00
Atoms (fractional coordinates):
Re  0.000  0.000  0.000
Br  0.500  0.500  0.500
O  0.500  0.000  0.000
O  0.000  0.500  0.000
O  0.000  0.000  0.500

No. 2
First-principles (GGA-PBE) data for a relaxed structure of Ba2TlSbPd6, as listed in Alexandria.

Results
As for the crystal system: triclinic.

Lattice parameters (Å, degrees): 6.965 7.156 7.053 58.39 61.71 90.83
Atoms (fractional coordinates):
Pd  0.329  0.126  0.492
Sb  0.500  0.500  0.000
Pd  0.671  0.874  0.508
Pd  0.876  0.816  0.799
Tl  0.000  0.000  0.000
Ba  0.711  0.291  0.579
Ba  0.289  0.709  0.421
Pd  0.124  0.184  0.201
Pd  0.182  0.674  0.950
Pd  0.818  0.326  0.050

Values for uncorrected formation energy, meV per atom, ordered as above
-604, -497
Values for total energy, eV per cell, ordered as above
-32.0, -46.5